Computed, not measured: crystalline ScTlHg at its relaxed geometry at the GGA-PBE level of DFT.

Computed properties:
SG: No. 63
Excess energy over the best structure of this formula in the dataset in meV/atom: 15.1
N(E_F) in states/eV/cell: 3.06
Electronic total energy in eV for the cell shown: -19.17
Energy relative to the elements in meV/atom: -195

Unit cell a=5.0459 b=5.0459 c=6.3758 alpha=90.00 beta=90.00 gamma=119.91
Last column: nearest neighbours and their distance in Å.
Atoms (fractional coordinates):
Sc: 0.1660 0.8340 0.7500  5 Hg 2.91-3.19
Sc: 0.8340 0.1660 0.2500  5 Hg 2.91-3.19
Tl: 0.5000 0.5000 0.0000  2 Tl 3.19, 6 Hg 3.32-3.33, 6 Sc 3.32
Tl: 0.5000 0.5000 0.5000  2 Tl 3.19, 6 Hg 3.32-3.33, 6 Sc 3.32
Hg: 0.1672 0.8328 0.2500  5 Sc 2.91-3.19
Hg: 0.8328 0.1672 0.7500  5 Sc 2.91-3.19

---

Computed, not measured: crystalline ScTlHg at its relaxed geometry at the GGA-PBE level of DFT.

Computed properties:
SG: No. 216
Excess energy over the best structure of this formula in the dataset in meV/atom: 179.1
N(E_F) in states/eV/cell: 0.01
Electronic total energy in eV for the cell shown: -9.09
Energy relative to the elements in meV/atom: -31

Unit cell a=4.7996 b=4.7996 c=4.7996 alpha=60.00 beta=60.00 gamma=60.00
Last column: nearest neighbours and their distance in Å.
Atoms (fractional coordinates):
Sc: 0.0000 0.0000 0.0000  4 Tl 2.94
Tl: 0.2500 0.2500 0.2500  4 Hg 2.94, 4 Sc 2.94
Hg: 0.5000 0.5000 0.5000  4 Tl 2.94

---

Computed, not measured: crystalline Sc4TlHg3 at its relaxed geometry at the GGA-PBE level of DFT.

Computed properties:
SG: No. 123
N(E_F) in states/eV/cell: 8.52
Electronic total energy in eV for the cell shown: -31.69
Energy relative to the elements in meV/atom: -387

Unit cell a=3.5286 b=3.5286 c=14.2909 alpha=90.00 beta=90.00 gamma=90.00
Last column: nearest neighbours and their distance in Å.
Atoms (fractional coordinates):
Sc: 0.0000 0.0000 0.1231  8 Hg 3.04-3.05
Sc: 0.0000 0.0000 0.3678  4 Hg 3.05, 4 Tl 3.13
Sc: 0.0000 0.0000 0.6322  4 Hg 3.05, 4 Tl 3.13
Sc: 0.0000 0.0000 0.8769  8 Hg 3.04-3.05
Tl: 0.5000 0.5000 0.5000  8 Sc 3.13
Hg: 0.5000 0.5000 0.0000  8 Sc 3.05
Hg: 0.5000 0.5000 0.2444  8 Sc 3.04-3.05
Hg: 0.5000 0.5000 0.7556  8 Sc 3.04-3.05

---

Computed, not measured: crystalline Sc3Tl2Hg2 at its relaxed geometry at the GGA-PBE level of DFT.

Computed properties:
SG: No. 2
N(E_F) in states/eV/cell: 4.20
Electronic total energy in eV for the cell shown: -25.89
Energy relative to the elements in meV/atom: -223

Unit cell a=4.9178 b=4.9647 c=8.4694 alpha=103.54 beta=90.12 gamma=119.63
Last column: nearest neighbours and their distance in Å.
Atoms (fractional coordinates):
Sc: 0.0000 0.0000 0.0000  2 Hg 3.05, 6 Tl 3.08-3.12
Sc: 0.2594 0.5224 0.7259  4 Hg 2.93-2.98, 3 Tl 3.05
Sc: 0.7406 0.4776 0.2741  4 Hg 2.93-2.98, 3 Tl 3.05
Tl: 0.3742 0.7468 0.1450  6 Sc 3.05-3.12, 2 Hg 3.39-3.40
Tl: 0.6258 0.2532 0.8550  6 Sc 3.05-3.12, 2 Hg 3.39-3.40
Hg: 0.0997 0.1956 0.3741  5 Sc 2.93-3.05, 1 Hg 3.06
Hg: 0.9003 0.8044 0.6259  5 Sc 2.93-3.05, 1 Hg 3.06

---

Computed, not measured: crystalline ScTl2Hg2 at its relaxed geometry at the GGA-PBE level of DFT.

Computed properties:
SG: No. 127
Excess energy over the best structure of this formula in the dataset in meV/atom: 65.5
N(E_F) in states/eV/cell: 6.42
Electronic total energy in eV for the cell shown: -22.34
Energy relative to the elements in meV/atom: 99

Unit cell a=8.1132 b=8.1132 c=4.0387 alpha=90.00 beta=90.00 gamma=90.00
Last column: nearest neighbours and their distance in Å.
Atoms (fractional coordinates):
Sc: 0.0000 0.0000 0.0000  4 Tl 3.13
Sc: 0.5000 0.5000 0.0000  4 Tl 3.13
Tl: 0.1408 0.3592 0.0000  6 Hg 3.02-3.19, 2 Sc 3.13, 1 Tl 3.23
Tl: 0.3592 0.8592 0.0000  6 Hg 3.02-3.19, 2 Sc 3.13, 1 Tl 3.23
Tl: 0.6408 0.1408 0.0000  6 Hg 3.02-3.19, 2 Sc 3.13, 1 Tl 3.23
Tl: 0.8592 0.6408 0.0000  6 Hg 3.02-3.19, 2 Sc 3.13, 1 Tl 3.23
Hg: 0.1630 0.6630 0.5000  6 Tl 3.02-3.19
Hg: 0.3370 0.1630 0.5000  6 Tl 3.02-3.19
Hg: 0.6630 0.8370 0.5000  6 Tl 3.02-3.19
Hg: 0.8370 0.3370 0.5000  6 Tl 3.02-3.19

---

Computed, not measured: crystalline Sc2Tl2Hg at its relaxed geometry at the GGA-PBE level of DFT.

Computed properties:
SG: No. 65
Excess energy over the best structure of this formula in the dataset in meV/atom: 0.0
N(E_F) in states/eV/cell: 3.86
Electronic total energy in eV for the cell shown: -18.64
Energy relative to the elements in meV/atom: -188

Unit cell a=10.8437 b=10.8437 c=3.3852 alpha=90.00 beta=90.00 gamma=162.18
Last column: nearest neighbours and their distance in Å.
Atoms (fractional coordinates):
Sc: 0.0892 0.9108 0.0000  4 Hg 3.06, 4 Tl 3.16, 4 Sc 3.36-3.39
Sc: 0.9108 0.0892 0.0000  4 Hg 3.06, 4 Tl 3.16, 4 Sc 3.36-3.39
Tl: 0.3140 0.6860 0.5000  4 Sc 3.16, 6 Tl 3.22-3.39
Tl: 0.6860 0.3140 0.5000  4 Sc 3.16, 6 Tl 3.22-3.39
Hg: 0.5000 0.5000 0.5000  8 Sc 3.06, 4 Hg 3.36-3.39

---

Computed, not measured: crystalline Sc2TlHg at its relaxed geometry at the GGA-PBE level of DFT.

Computed properties:
SG: No. 166
N(E_F) in states/eV/cell: 5.42
Electronic total energy in eV for the cell shown: -15.00
Energy relative to the elements in meV/atom: 82

Unit cell a=11.0162 b=11.0162 c=11.0162 alpha=17.40 beta=17.40 gamma=17.40
Last column: nearest neighbours and their distance in Å.
Atoms (fractional coordinates):
Sc: 0.0907 0.0907 0.0907  1 Hg 2.95, 3 Tl 3.13
Sc: 0.9093 0.9093 0.9093  1 Hg 2.95, 3 Tl 3.13
Tl: 0.5000 0.5000 0.5000  6 Sc 3.13, 6 Tl 3.33
Hg: 0.0000 0.0000 0.0000  2 Sc 2.95

---

Computed, not measured: crystalline Sc2TlHg at its relaxed geometry at the GGA-PBE level of DFT.

Computed properties:
SG: No. 122
N(E_F) in states/eV/cell: 7.80
Electronic total energy in eV for the cell shown: -31.04
Energy relative to the elements in meV/atom: -47

Unit cell a=6.4304 b=6.4304 c=6.4304 alpha=105.55 beta=105.55 gamma=117.64
Last column: nearest neighbours and their distance in Å.
Atoms (fractional coordinates):
Sc: 0.1132 0.1250 0.4882  2 Hg 2.81, 2 Tl 2.94
Sc: 0.3750 0.8868 0.0118  2 Hg 2.81, 2 Tl 2.94
Sc: 0.6368 0.6250 0.5118  2 Hg 2.81, 2 Tl 2.94
Sc: 0.8750 0.3632 0.9882  2 Hg 2.81, 2 Tl 2.94
Tl: 0.2500 0.7500 0.5000  4 Sc 2.94
Tl: 0.5000 0.5000 0.0000  4 Sc 2.94
Hg: 0.0000 0.0000 0.0000  4 Sc 2.81
Hg: 0.7500 0.2500 0.5000  4 Sc 2.81

---

Computed, not measured: crystalline Sc2TlHg at its relaxed geometry at the GGA-PBE level of DFT.

Computed properties:
SG: No. 160
N(E_F) in states/eV/cell: 4.27
Electronic total energy in eV for the cell shown: -16.19
Energy relative to the elements in meV/atom: -214

Unit cell a=9.5528 b=9.5528 c=9.5528 alpha=20.85 beta=20.85 gamma=20.85
Last column: nearest neighbours and their distance in Å.
Atoms (fractional coordinates):
Sc: 0.0000 0.0000 0.0000  3 Hg 3.01, 3 Tl 3.15
Sc: 0.1738 0.1738 0.1738  3 Hg 2.99, 3 Tl 3.15
Tl: 0.7536 0.7536 0.7536  6 Sc 3.15, 6 Tl 3.46
Hg: 0.5865 0.5865 0.5865  6 Sc 2.99-3.01

---

Computed, not measured: crystalline Sc3TlHg at its relaxed geometry at the GGA-PBE level of DFT.

Computed properties:
SG: No. 63
Excess energy over the best structure of this formula in the dataset in meV/atom: 0.0
N(E_F) in states/eV/cell: 9.44
Electronic total energy in eV for the cell shown: -46.11
Energy relative to the elements in meV/atom: -279

Unit cell a=9.4740 b=9.4740 c=5.0223 alpha=90.00 beta=90.00 gamma=149.26
Last column: nearest neighbours and their distance in Å.
Atoms (fractional coordinates):
Sc: 0.0547 0.9453 0.7500  2 Hg 3.02, 2 Tl 3.06, 4 Sc 3.21
Sc: 0.2499 0.7501 0.7500  4 Tl 3.10, 4 Hg 3.14
Sc: 0.4448 0.5552 0.7500  2 Hg 3.02, 2 Tl 3.05, 4 Sc 3.21-3.22
Sc: 0.5552 0.4448 0.2500  2 Hg 3.02, 2 Tl 3.05, 4 Sc 3.21-3.22
Sc: 0.7501 0.2499 0.2500  4 Tl 3.10, 4 Hg 3.14
Sc: 0.9453 0.0547 0.2500  2 Hg 3.02, 2 Tl 3.06, 4 Sc 3.21
Tl: 0.1502 0.8498 0.2500  8 Sc 3.05-3.10
Tl: 0.8498 0.1502 0.7500  8 Sc 3.05-3.10
Hg: 0.3531 0.6469 0.2500  8 Sc 3.02-3.14
Hg: 0.6469 0.3531 0.7500  8 Sc 3.02-3.14

---

Computed, not measured: crystalline Sc3TlHg2 at its relaxed geometry at the GGA-PBE level of DFT.

Computed properties:
SG: No. 123
N(E_F) in states/eV/cell: 6.80
Electronic total energy in eV for the cell shown: -24.19
Energy relative to the elements in meV/atom: -371

Unit cell a=3.5218 b=3.5218 c=10.8264 alpha=90.00 beta=90.00 gamma=90.00
Last column: nearest neighbours and their distance in Å.
Atoms (fractional coordinates):
Sc: 0.0000 0.0000 0.0000  8 Hg 3.03
Sc: 0.0000 0.0000 0.3249  4 Hg 3.06, 4 Tl 3.13
Sc: 0.0000 0.0000 0.6751  4 Hg 3.06, 4 Tl 3.13
Tl: 0.5000 0.5000 0.5000  8 Sc 3.13
Hg: 0.5000 0.5000 0.1600  8 Sc 3.03-3.06
Hg: 0.5000 0.5000 0.8400  8 Sc 3.03-3.06

---

Computed, not measured: crystalline ScTlHg at its relaxed geometry at the GGA-PBE level of DFT.

Computed properties:
SG: No. 62
Excess energy over the best structure of this formula in the dataset in meV/atom: 20.3
N(E_F) in states/eV/cell: 8.75
Electronic total energy in eV for the cell shown: -38.28
Energy relative to the elements in meV/atom: -190

Unit cell a=6.3816 b=4.8006 c=9.2351 alpha=90.00 beta=90.00 gamma=90.00
Last column: nearest neighbours and their distance in Å.
Atoms (fractional coordinates):
Sc: 0.1433 0.2500 0.0996  5 Hg 3.01-3.36, 5 Tl 3.06-3.21
Sc: 0.3567 0.7500 0.5996  5 Hg 3.01-3.36, 5 Tl 3.06-3.21
Sc: 0.6433 0.2500 0.4004  5 Hg 3.01-3.36, 5 Tl 3.06-3.21
Sc: 0.8567 0.7500 0.9004  5 Hg 3.01-3.36, 5 Tl 3.06-3.21
Tl: 0.1439 0.2500 0.4310  5 Sc 3.06-3.21, 5 Hg 3.20-3.41, 2 Tl 3.28
Tl: 0.3561 0.7500 0.9310  5 Sc 3.06-3.21, 5 Hg 3.20-3.41, 2 Tl 3.28
Tl: 0.6439 0.2500 0.0690  5 Sc 3.06-3.21, 5 Hg 3.20-3.41, 2 Tl 3.28
Tl: 0.8561 0.7500 0.5690  5 Sc 3.06-3.21, 5 Hg 3.20-3.41, 2 Tl 3.28
Hg: 0.0890 0.2500 0.7756  5 Sc 3.01-3.36, 3 Tl 3.20-3.28, 2 Hg 3.23
Hg: 0.4110 0.7500 0.2756  5 Sc 3.01-3.36, 3 Tl 3.20-3.28, 2 Hg 3.23
Hg: 0.5890 0.2500 0.7244  5 Sc 3.01-3.36, 3 Tl 3.20-3.28, 2 Hg 3.23
Hg: 0.9110 0.7500 0.2244  5 Sc 3.01-3.36, 3 Tl 3.20-3.28, 2 Hg 3.23

---

Please write out number 8 again, unchanged.
Computed, not measured: crystalline Sc2TlHg at its relaxed geometry at the GGA-PBE level of DFT.

Computed properties:
SG: No. 122
N(E_F) in states/eV/cell: 7.80
Electronic total energy in eV for the cell shown: -31.04
Energy relative to the elements in meV/atom: -47

Unit cell a=6.4304 b=6.4304 c=6.4304 alpha=105.55 beta=105.55 gamma=117.64
Last column: nearest neighbours and their distance in Å.
Atoms (fractional coordinates):
Sc: 0.1132 0.1250 0.4882  2 Hg 2.81, 2 Tl 2.94
Sc: 0.3750 0.8868 0.0118  2 Hg 2.81, 2 Tl 2.94
Sc: 0.6368 0.6250 0.5118  2 Hg 2.81, 2 Tl 2.94
Sc: 0.8750 0.3632 0.9882  2 Hg 2.81, 2 Tl 2.94
Tl: 0.2500 0.7500 0.5000  4 Sc 2.94
Tl: 0.5000 0.5000 0.0000  4 Sc 2.94
Hg: 0.0000 0.0000 0.0000  4 Sc 2.81
Hg: 0.7500 0.2500 0.5000  4 Sc 2.81